Record 1
Entry from the Alexandria database: crystalline CdSi2As at its relaxed geometry (PBE).

Unit cell a=3.9056 b=3.9056 c=4.9783 alpha=90.00 beta=90.00 gamma=90.00
Space group P4/mmm (No. 123)
Inequivalent atoms, fractional coordinates:
Cd 0.0000 0.0000 0.0000 [1 per cell]
Si 0.0000 0.5000 0.5000 [2 per cell]
As 0.5000 0.5000 0.0000 [1 per cell]

Results
Formation energy (no corrections) in kcal/mol of atoms: 11.98
DFT total energy in eV/atom: -3.583
D(E_F) in states/eV/cell: 1.715

=====

Record 2
Entry from the Alexandria database: crystalline CdSiAs2 at its relaxed geometry (PBE).

Unit cell a=2.9625 b=2.9625 c=30.4729 alpha=90.00 beta=90.00 gamma=120.00
Space group R3m (No. 160, hexagonal axes)
Inequivalent atoms, fractional coordinates:
Cd 0.0000 0.0000 0.0000 [3 per cell]
Si 0.0000 0.0000 0.7529 [3 per cell]
As 0.0000 0.0000 0.2415 [3 per cell]
As 0.0000 0.0000 0.4933 [3 per cell]

Results
Formation energy (no corrections) in kcal/mol of atoms: 10.14
DFT total energy in eV/atom: -3.470
D(E_F) in states/eV/cell: 4.714

=====

Record 3
Entry from the Alexandria database: crystalline CdSiAs2 at its relaxed geometry (PBE).

Unit cell a=3.4181 b=4.6650 c=10.0554 alpha=90.00 beta=90.00 gamma=90.00
Space group Immm (No. 71)
Inequivalent atoms, fractional coordinates:
Cd 0.0000 0.0000 0.0000 [2 per cell]
Si 0.0000 0.0000 0.5000 [2 per cell]
As 0.0000 0.5000 0.1906 [4 per cell]

Results
Formation energy (no corrections) in kcal/mol of atoms: 7.24
DFT total energy in eV/atom: -3.596
D(E_F) in states/eV/cell: 3.481

=====

Record 4
Entry from the Alexandria database: crystalline CdSi2As at its relaxed geometry (PBE).

Unit cell a=3.4243 b=4.7291 c=9.3634 alpha=90.00 beta=90.00 gamma=90.00
Space group Imm2 (No. 44)
Inequivalent atoms, fractional coordinates:
Cd 0.0000 0.0000 0.0000 [2 per cell]
Si 0.0000 0.0000 0.4983 [2 per cell]
Si 0.0000 0.5000 0.7986 [2 per cell]
As 0.0000 0.5000 0.1993 [2 per cell]

Results
Formation energy (no corrections) in kcal/mol of atoms: 10.24
DFT total energy in eV/atom: -3.659
D(E_F) in states/eV/cell: 3.618

=====

Record 5
Entry from the Alexandria database: crystalline CdSi2As at its relaxed geometry (PBE).

Unit cell a=6.6973 b=6.6973 c=6.6973 alpha=90.00 beta=90.00 gamma=90.00
Space group Fm-3m (No. 225)
Inequivalent atoms, fractional coordinates:
Cd 0.0000 0.0000 0.0000 [4 per cell]
Si 0.2500 0.2500 0.2500 [8 per cell]
As 0.0000 0.0000 0.5000 [4 per cell]

Results
Formation energy (no corrections) in kcal/mol of atoms: 13.89
DFT total energy in eV/atom: -3.500
D(E_F) in states/eV/cell: 9.454

=====

Record 6
Entry from the Alexandria database: crystalline CdSi2As at its relaxed geometry (PBE).

Unit cell a=2.8508 b=2.8508 c=31.4710 alpha=90.00 beta=90.00 gamma=120.00
Space group R-3m (No. 166, hexagonal axes)
Inequivalent atoms, fractional coordinates:
Cd 0.0000 0.0000 0.0000 [3 per cell]
Si 0.0000 0.0000 0.2444 [6 per cell]
As 0.0000 0.0000 0.5000 [3 per cell]

Results
Formation energy (no corrections) in kcal/mol of atoms: 11.56
DFT total energy in eV/atom: -3.602
D(E_F) in states/eV/cell: 4.777

=====

Record 7
Entry from the Alexandria database: crystalline CdSiAs at its relaxed geometry (PBE).

Unit cell a=3.3759 b=4.9907 c=15.6865 alpha=90.00 beta=90.00 gamma=90.00
Space group Fmm2 (No. 42)
Inequivalent atoms, fractional coordinates:
Cd 0.0000 0.0000 0.0000 [4 per cell]
Si 0.0000 0.0000 0.6818 [4 per cell]
As 0.0000 0.0000 0.2975 [4 per cell]

Results
Formation energy (no corrections) in kcal/mol of atoms: 9.01
DFT total energy in eV/atom: -3.272
D(E_F) in states/eV/cell: 3.106

=====

Record 8
Entry from the Alexandria database: crystalline Cd2SiAs at its relaxed geometry (PBE).

Unit cell a=4.1630 b=4.1630 c=9.6138 alpha=90.00 beta=90.00 gamma=90.00
Space group I-4m2 (No. 119)
Inequivalent atoms, fractional coordinates:
Cd 0.0000 0.0000 0.0000 [2 per cell]
Cd 0.0000 0.5000 0.2500 [2 per cell]
Si 0.0000 0.5000 0.7500 [2 per cell]
As 0.0000 0.0000 0.5000 [2 per cell]

Results
Formation energy (no corrections) in kcal/mol of atoms: 8.43
DFT total energy in eV/atom: -2.610
D(E_F) in states/eV/cell: 3.713

=====

Record 9
Entry from the Alexandria database: crystalline CdSi2As at its relaxed geometry (PBE).

Unit cell a=6.6928 b=6.6928 c=6.6928 alpha=90.00 beta=90.00 gamma=90.00
Space group F-43m (No. 216)
Inequivalent atoms, fractional coordinates:
Cd 0.0000 0.0000 0.0000 [4 per cell]
Si 0.0000 0.0000 0.5000 [4 per cell]
Si 0.2500 0.2500 0.2500 [4 per cell]
As 0.2500 0.2500 0.7500 [4 per cell]

Results
Formation energy (no corrections) in kcal/mol of atoms: 13.42
DFT total energy in eV/atom: -3.521
D(E_F) in states/eV/cell: 9.544

=====

Record 10
Entry from the Alexandria database: crystalline CdSiAs2 at its relaxed geometry (PBE).

Unit cell a=5.3780 b=5.3780 c=2.7793 alpha=90.00 beta=90.00 gamma=90.00
Space group P4/mmm (No. 123)
Inequivalent atoms, fractional coordinates:
Cd 0.0000 0.0000 0.0000 [1 per cell]
Si 0.5000 0.5000 0.0000 [1 per cell]
As 0.0000 0.5000 0.5000 [2 per cell]

Results
Formation energy (no corrections) in kcal/mol of atoms: 9.26
DFT total energy in eV/atom: -3.508
D(E_F) in states/eV/cell: 1.460

=====

Record 11
Entry from the Alexandria database: crystalline Cd2SiAs at its relaxed geometry (PBE).

Unit cell a=6.7793 b=6.7793 c=9.2053 alpha=90.00 beta=90.00 gamma=90.00
Space group I-42d (No. 122)
Inequivalent atoms, fractional coordinates:
Cd 0.2496 0.2500 0.1250 [8 per cell]
Si 0.0000 0.0000 0.0000 [4 per cell]
As 0.0000 0.0000 0.5000 [4 per cell]

Results
Formation energy (no corrections) in kcal/mol of atoms: 10.94
DFT total energy in eV/atom: -2.501
D(E_F) in states/eV/cell: 11.047

=====

Record 12
Entry from the Alexandria database: crystalline CdSiAs2 at its relaxed geometry (PBE).

Unit cell a=3.3461 b=4.7305 c=10.0449 alpha=90.00 beta=90.00 gamma=90.00
Space group Cmmm (No. 65)
Inequivalent atoms, fractional coordinates:
Cd 0.0000 0.0000 0.0000 [2 per cell]
Si 0.0000 0.0000 0.5000 [2 per cell]
As 0.0000 0.5000 0.2906 [4 per cell]

Results
Formation energy (no corrections) in kcal/mol of atoms: 8.25
DFT total energy in eV/atom: -3.552
D(E_F) in states/eV/cell: 1.774